## Sr4CdSe (PBE-GGA)

Data for a relaxed Sr4CdSe crystal.

Values from the calculation:
formation energy from raw total energies	178.3	meV/atom
total DFT energy (no corrections)	-1.68	eV per atom
theoretical density	3.456	g cm⁻³
calculated volume	1041.4	Å³ per cell

abc: 10.136 10.136 10.136
angles: 90.00 90.00 90.00
Space group F-43m (No. 216)
Symmetry-distinct sites (fractional):
1 Sr 0.125 0.125 0.125 [16 per cell]
2 Cd 0.250 0.250 0.750 [4 per cell]
3 Se 0.000 0.000 0.500 [4 per cell]